The following is a DFT calculation (GGA-PBE) of a relaxed CoCu2Ge crystal.

```
CoCu2Ge
1.0
0.000 2.916 2.916
2.916 0.000 2.916
2.916 2.916 0.000
Co Cu Ge
1 2 1
Direct
0.000 0.000 0.000
0.250 0.250 0.250
0.750 0.750 0.750
0.500 0.500 0.500
```

Results
- polymorph energy (0 for the lowest one) (eV per formula unit) = 0.76
- density of states at the Fermi level (states/eV/f.u.) = 2.76
- formation enthalpy at 0 K (eV per atom) = 0.180
- energy (eV per atom) = -4.80